# CaSc2Ag2

Crystalline CaSc2Ag2 at its relaxed geometry (GGA-PBE, the Alexandria database).

```
data_CaSc2Ag2
_chemical_formula_sum 'Ca2 Sc4 Ag4'
_symmetry_space_group_name_H-M 'P 4/m b m'
_symmetry_Int_Tables_number 127
_symmetry_space_group_name_Hall '-P 4 2ab'
_cell_length_a 8.264
_cell_length_b 8.264
_cell_length_c 3.445
_cell_angle_alpha 90.00
_cell_angle_beta 90.00
_cell_angle_gamma 90.00
loop_
_atom_site_label
_atom_site_fract_x
_atom_site_fract_y
_atom_site_fract_z
Ca1 0.000 0.000 0.000
Sc1 0.154 0.346 0.500
Ag1 0.135 0.635 0.000
```

Calculated values
VASP energy	-4.2184	eV/atom
DOS(E_F)	0.806	states/eV per atom
density	4.88	g/cm³
crystal system	tetragonal